No. 1
Material: Nd2HoThBi4
Method: DFT, PBE
State: optimized geometry

Values from the calculation:
**N(E_F)**: 0.23 states/eV/atom
**Crystal system**: monoclinic
**Calculated formation energy**: -0.84 eV/atom
**Size of the total moment**: 0.0 μB per formula unit

Lattice parameters (Å, degrees): 4.579 7.900 7.928 109.48 90.00 90.00
Sites, in units of the cell vectors:
1 Nd 0.500 0.000 0.500
2 Nd 0.000 0.500 0.500
3 Ho 0.000 0.000 0.000
4 Th 0.500 0.500 0.000
5 Bi 0.500 0.244 0.243
6 Bi 0.500 0.756 0.757
7 Bi 0.000 0.247 0.753
8 Bi 0.000 0.753 0.247


No. 2
Material: NdHo3Th2Bi6
Method: DFT, PBE
State: optimized geometry

Values from the calculation:
**N(E_F)**: 0.41 states/eV/atom
**Crystal system**: monoclinic
**Calculated formation energy**: -0.77 eV/atom
**Size of the total moment**: 0.0 μB per formula unit

Lattice parameters (Å, degrees): 4.541 9.047 10.122 102.66 102.96 90.00
Sites, in units of the cell vectors:
1 Nd 0.500 0.000 0.000
2 Ho 0.500 0.500 0.000
3 Ho 0.834 0.167 0.669
4 Ho 0.166 0.833 0.331
5 Th 0.835 0.669 0.669
6 Th 0.165 0.331 0.331
7 Bi 0.331 0.922 0.661
8 Bi 0.665 0.589 0.330
9 Bi 0.669 0.078 0.339
10 Bi 0.998 0.256 0.996
11 Bi 0.002 0.744 0.004
12 Bi 0.335 0.411 0.670


No. 3
Material: NdHoTh2Bi4
Method: DFT, PBE
State: optimized geometry

Values from the calculation:
**N(E_F)**: 0.59 states/eV/atom
**Crystal system**: monoclinic
**Calculated formation energy**: -0.73 eV/atom
**Size of the total moment**: 0.0 μB per formula unit

Lattice parameters (Å, degrees): 4.578 7.926 7.886 109.66 90.00 90.00
Sites, in units of the cell vectors:
1 Nd 0.000 0.000 0.000
2 Ho 0.500 0.500 0.000
3 Th 0.500 0.000 0.500
4 Th 0.000 0.500 0.500
5 Bi 0.500 0.253 0.246
6 Bi 0.500 0.747 0.754
7 Bi 0.000 0.257 0.757
8 Bi 0.000 0.743 0.243


No. 4
Material: NdHo2ThBi5
Method: DFT, PBE
State: optimized geometry

Values from the calculation:
**N(E_F)**: 0.66 states/eV/atom
**Crystal system**: tetragonal
**Calculated formation energy**: 0.22 eV/atom
**Size of the total moment**: 0.0 μB per formula unit

Lattice parameters (Å, degrees): 5.714 5.714 12.095 90.00 90.00 90.00
Sites, in units of the cell vectors:
1 Nd 0.000 0.000 0.000
2 Ho 0.500 0.500 0.264
3 Ho 0.500 0.500 0.736
4 Th 0.000 0.000 0.500
5 Bi 0.000 0.500 0.500
6 Bi 0.500 0.000 0.500
7 Bi 0.000 0.000 0.755
8 Bi 0.000 0.000 0.245
9 Bi 0.500 0.500 0.000


No. 5
Material: NdHoTlBi
Method: DFT, PBE
State: optimized geometry

Values from the calculation:
**N(E_F)**: 1.03 states/eV/atom
**Crystal system**: cubic
**Calculated formation energy**: -0.43 eV/atom
**Size of the total moment**: 0.0 μB per formula unit

Lattice parameters (Å, degrees): 5.507 5.507 5.507 60.00 60.00 60.00
Sites, in units of the cell vectors:
1 Tl 0.500 0.500 0.500
2 Nd 0.750 0.750 0.750
3 Bi 0.000 0.000 0.000
4 Ho 0.250 0.250 0.250


No. 6
Material: Nd2HoTmBi4
Method: DFT, PBE
State: optimized geometry

Values from the calculation:
**N(E_F)**: 0.16 states/eV/atom
**Crystal system**: monoclinic
**Calculated formation energy**: -0.88 eV/atom
**Size of the total moment**: 0.0 μB per formula unit

Lattice parameters (Å, degrees): 4.535 7.849 7.835 109.51 90.00 90.00
Sites, in units of the cell vectors:
1 Nd 0.500 0.000 0.500
2 Nd 0.000 0.500 0.500
3 Ho 0.500 0.500 0.000
4 Tm 0.000 0.000 0.000
5 Bi 0.500 0.245 0.239
6 Bi 0.500 0.755 0.761
7 Bi 0.000 0.253 0.761
8 Bi 0.000 0.747 0.239


No. 7
Material: NdHo3Tm2Bi6
Method: DFT, PBE
State: optimized geometry

Values from the calculation:
**N(E_F)**: 0.17 states/eV/atom
**Crystal system**: monoclinic
**Calculated formation energy**: -0.83 eV/atom
**Size of the total moment**: 0.0 μB per formula unit

Lattice parameters (Å, degrees): 4.478 8.956 10.009 102.89 102.93 90.00
Sites, in units of the cell vectors:
1 Nd 0.500 0.000 0.000
2 Ho 0.500 0.500 0.000
3 Ho 0.835 0.168 0.670
4 Ho 0.165 0.832 0.330
5 Tm 0.832 0.667 0.665
6 Tm 0.168 0.333 0.335
7 Bi 0.330 0.914 0.660
8 Bi 0.667 0.581 0.334
9 Bi 0.670 0.086 0.340
10 Bi 0.001 0.258 0.003
11 Bi 0.999 0.742 0.997
12 Bi 0.333 0.419 0.666


No. 8
Material: Nd2HoTm3Bi6
Method: DFT, PBE
State: optimized geometry

Values from the calculation:
**N(E_F)**: 0.17 states/eV/atom
**Crystal system**: monoclinic
**Calculated formation energy**: -0.84 eV/atom
**Size of the total moment**: 0.0 μB per formula unit

Lattice parameters (Å, degrees): 4.500 8.992 10.051 102.82 102.94 90.00
Sites, in units of the cell vectors:
1 Nd 0.834 0.668 0.669
2 Nd 0.166 0.332 0.331
3 Ho 0.500 0.000 0.000
4 Tm 0.500 0.500 0.000
5 Tm 0.832 0.166 0.663
6 Tm 0.168 0.834 0.337
7 Bi 0.334 0.925 0.667
8 Bi 0.664 0.590 0.328
9 Bi 0.666 0.075 0.333
10 Bi 0.996 0.249 0.993
11 Bi 0.004 0.751 0.007
12 Bi 0.336 0.410 0.672


No. 9
Material: Nd2YHo3Bi6
Method: DFT, PBE
State: optimized geometry

Values from the calculation:
**N(E_F)**: 0.17 states/eV/atom
**Crystal system**: monoclinic
**Calculated formation energy**: -0.88 eV/atom
**Size of the total moment**: 0.0 μB per formula unit

Lattice parameters (Å, degrees): 4.518 9.029 10.093 102.84 102.93 90.00
Sites, in units of the cell vectors:
1 Nd 0.834 0.668 0.668
2 Nd 0.166 0.332 0.332
3 Y 0.500 0.000 0.000
4 Ho 0.500 0.500 0.000
5 Ho 0.832 0.166 0.664
6 Ho 0.168 0.834 0.336
7 Bi 0.333 0.924 0.667
8 Bi 0.665 0.589 0.329
9 Bi 0.667 0.076 0.333
10 Bi 0.997 0.250 0.994
11 Bi 0.003 0.750 0.006
12 Bi 0.335 0.411 0.671


No. 10
Material: Ho5Ni2Bi
Method: DFT, PBE
State: optimized geometry

Values from the calculation:
**N(E_F)**: 0.95 states/eV/atom
**Crystal system**: tetragonal
**Calculated formation energy**: -0.46 eV/atom
**Size of the total moment**: 0.0 μB per formula unit

Lattice parameters (Å, degrees): 7.640 8.673 7.640 63.87 90.00 116.13
Sites, in units of the cell vectors:
1 Ho 0.000 0.000 0.000
2 Ho 0.500 0.000 0.500
3 Ho 0.023 0.733 0.790
4 Ho 0.710 0.733 0.477
5 Ho 0.523 0.733 0.977
6 Ho 0.210 0.733 0.290
7 Ho 0.977 0.267 0.210
8 Ho 0.290 0.267 0.523
9 Ho 0.477 0.267 0.023
10 Ho 0.790 0.267 0.710
11 Ni 0.368 0.000 0.868
12 Ni 0.632 0.000 0.132
13 Ni 0.868 0.000 0.632
14 Ni 0.132 0.000 0.368
15 Bi 0.750 0.500 0.250
16 Bi 0.250 0.500 0.750


No. 11
Material: HoNi2Bi
Method: DFT, PBE
State: optimized geometry

Values from the calculation:
**N(E_F)**: 0.75 states/eV/atom
**Crystal system**: cubic
**Calculated formation energy**: -0.29 eV/atom
**Size of the total moment**: 0.0 μB per formula unit

Lattice parameters (Å, degrees): 4.672 4.672 4.672 60.00 60.00 60.00
Sites, in units of the cell vectors:
1 Ni 0.250 0.250 0.250
2 Ni 0.750 0.750 0.750
3 Bi 0.500 0.500 0.500
4 Ho 0.000 0.000 0.000


No. 12
Material: HoNiBi
Method: DFT, PBE
State: optimized geometry

Values from the calculation:
**N(E_F)**: 0.04 states/eV/atom
**Crystal system**: cubic
**Calculated formation energy**: -0.67 eV/atom
**Size of the total moment**: 0.0 μB per formula unit

Lattice parameters (Å, degrees): 4.574 4.574 4.574 60.00 60.00 60.00
Sites, in units of the cell vectors:
1 Ni 0.250 0.250 0.250
2 Bi 0.000 0.000 0.000
3 Ho 0.500 0.500 0.500


No. 13
Material: HoNiBi
Method: DFT, PBE
State: optimized geometry

Values from the calculation:
**N(E_F)**: 0.57 states/eV/atom
**Crystal system**: trigonal
**Calculated formation energy**: -0.52 eV/atom
**Size of the total moment**: 0.0 μB per formula unit

Lattice parameters (Å, degrees): 4.570 4.570 7.967 106.64 90.00 120.00
Sites, in units of the cell vectors:
1 Ho 0.743 0.486 0.230
2 Ho 0.257 0.514 0.770
3 Ni 0.131 0.261 0.392
4 Ni 0.869 0.739 0.608
5 Bi 0.500 0.000 0.500
6 Bi 0.000 0.000 0.000


No. 14
Material: Ho8NiBi2
Method: DFT, PBE
State: optimized geometry

Values from the calculation:
**N(E_F)**: 1.04 states/eV/atom
**Crystal system**: monoclinic
**Calculated formation energy**: -0.32 eV/atom
**Size of the total moment**: 0.0 μB per formula unit

Lattice parameters (Å, degrees): 4.630 7.314 9.683 95.98 103.83 90.00
Sites, in units of the cell vectors:
1 Ho 0.406 0.478 0.812
2 Ho 0.636 0.049 0.271
3 Ho 0.788 0.649 0.575
4 Ho 0.003 0.224 0.006
5 Ho 0.212 0.351 0.425
6 Ho 0.364 0.951 0.729
7 Ho 0.594 0.522 0.188
8 Ho 0.997 0.776 0.994
9 Ni 0.500 0.000 0.000
10 Bi 0.817 0.213 0.634
11 Bi 0.183 0.787 0.366


No. 15
Material: Ho12Ni6Bi
Method: DFT, PBE
State: optimized geometry

Values from the calculation:
**N(E_F)**: 1.13 states/eV/atom
**Crystal system**: cubic
**Calculated formation energy**: -0.41 eV/atom
**Size of the total moment**: 0.0 μB per formula unit

Lattice parameters (Å, degrees): 8.409 8.409 8.409 109.47 109.47 109.47
Sites, in units of the cell vectors:
1 Ho 0.307 0.118 0.811
2 Ho 0.307 0.495 0.189
3 Ho 0.693 0.505 0.811
4 Ho 0.693 0.882 0.189
5 Ho 0.118 0.811 0.307
6 Ho 0.495 0.189 0.307
7 Ho 0.505 0.811 0.693
8 Ho 0.882 0.189 0.693
9 Ho 0.811 0.307 0.118
10 Ho 0.189 0.307 0.495
11 Ho 0.811 0.693 0.505
12 Ho 0.189 0.693 0.882
13 Ni 0.377 0.500 0.877
14 Ni 0.623 0.500 0.123
15 Ni 0.500 0.877 0.377
16 Ni 0.500 0.123 0.623
17 Ni 0.877 0.377 0.500
18 Ni 0.123 0.623 0.500
19 Bi 0.000 0.000 0.000


No. 16
Material: Ho3NiBi
Method: DFT, PBE
State: optimized geometry

Values from the calculation:
**N(E_F)**: 0.82 states/eV/atom
**Crystal system**: cubic
**Calculated formation energy**: -0.40 eV/atom
**Size of the total moment**: 0.0 μB per formula unit

Lattice parameters (Å, degrees): 5.191 5.191 5.191 90.00 90.00 90.00
Sites, in units of the cell vectors:
1 Ni 0.000 0.000 0.000
2 Bi 0.500 0.500 0.500
3 Ho 0.000 0.500 0.000
4 Ho 0.000 0.000 0.500
5 Ho 0.500 0.000 0.000


No. 17
Material: Ho6NiBi
Method: DFT, PBE
State: optimized geometry

Values from the calculation:
**N(E_F)**: 1.49 states/eV/atom
**Crystal system**: triclinic
**Calculated formation energy**: -0.09 eV/atom
**Size of the total moment**: 0.0 μB per formula unit

Lattice parameters (Å, degrees): 6.738 6.747 7.579 63.62 63.68 60.04
Sites, in units of the cell vectors:
1 Ho 0.034 0.415 0.771
2 Ho 0.781 0.033 0.771
3 Ho 0.586 0.219 0.229
4 Ho 0.219 0.967 0.229
5 Ho 0.966 0.585 0.229
6 Ho 0.414 0.781 0.771
7 Ni 0.000 0.000 0.000
8 Bi 0.500 0.500 0.500


No. 18
Material: Ho12Ni5Bi
Method: DFT, PBE
State: optimized geometry

Values from the calculation:
**N(E_F)**: 0.97 states/eV/atom
**Crystal system**: orthorhombic
**Calculated formation energy**: -0.38 eV/atom
**Size of the total moment**: 0.0 μB per formula unit

Lattice parameters (Å, degrees): 8.323 8.323 8.323 107.06 111.74 109.64
Sites, in units of the cell vectors:
1 Ho 0.527 0.821 0.706
2 Ho 0.473 0.179 0.294
3 Ho 0.885 0.179 0.706
4 Ho 0.115 0.821 0.294
5 Ho 0.692 0.680 0.372
6 Ho 0.308 0.320 0.628
7 Ho 0.308 0.680 0.987
8 Ho 0.692 0.320 0.013
9 Ho 0.807 0.600 0.793
10 Ho 0.193 0.400 0.207
11 Ho 0.193 0.986 0.793
12 Ho 0.807 0.014 0.207
13 Ni 0.634 0.634 0.000
14 Ni 0.366 0.366 0.000
15 Ni 0.500 0.124 0.624
16 Ni 0.500 0.876 0.376
17 Ni 0.000 0.000 0.000
18 Bi 0.000 0.500 0.500


No. 19
Material: Ho3NiBi
Method: DFT, PBE
State: optimized geometry

Values from the calculation:
**N(E_F)**: 0.60 states/eV/atom
**Crystal system**: monoclinic
**Calculated formation energy**: -0.43 eV/atom
**Size of the total moment**: 0.0 μB per formula unit

Lattice parameters (Å, degrees): 5.101 6.599 9.657 114.60 90.00 112.74
Sites, in units of the cell vectors:
1 Ho 0.875 0.750 0.748
2 Ho 0.125 0.250 0.252
3 Ho 0.633 0.266 0.939
4 Ho 0.367 0.734 0.061
5 Ho 0.865 0.731 0.322
6 Ho 0.135 0.269 0.678
7 Ni 0.113 0.227 0.965
8 Ni 0.887 0.773 0.035
9 Bi 0.395 0.789 0.569
10 Bi 0.605 0.211 0.431


No. 20
Material: Ho7Ni2Bi2
Method: DFT, PBE
State: optimized geometry

Values from the calculation:
**N(E_F)**: 0.95 states/eV/atom
**Crystal system**: orthorhombic
**Calculated formation energy**: -0.45 eV/atom
**Size of the total moment**: 0.0 μB per formula unit

Lattice parameters (Å, degrees): 3.688 9.646 9.646 62.13 78.98 78.98
Sites, in units of the cell vectors:
1 Ho 0.816 0.089 0.280
2 Ho 0.845 0.403 0.907
3 Ho 0.500 0.038 0.962
4 Ho 0.634 0.465 0.267
5 Ho 0.366 0.733 0.535
6 Ho 0.184 0.720 0.911
7 Ho 0.155 0.093 0.597
8 Ni 0.739 0.852 0.670
9 Ni 0.261 0.330 0.148
10 Bi 0.000 0.768 0.232
11 Bi 0.500 0.361 0.639